(1)
Density functional theory data (PBE) for crystalline KPaGe at its relaxed geometry.

a b c (Å): 4.3419 4.3419 13.4950
angles (deg): 80.74 80.74 60.00
Element x y z (fractional)
Pa 0.1496 0.1496 0.5511
Pa 0.8504 0.8504 0.4489
Ge 0.2231 0.2231 0.3308
Ge 0.7769 0.7769 0.6692
K 0.3873 0.3873 0.8380
K 0.6127 0.6127 0.1620

The space group is R-3m, No. 166. The calculation puts the final energy at -5.026 eV/atom.


(2)
Density functional theory data (PBE) for crystalline KPa2GeS8 at its relaxed geometry.

a b c (Å): 6.3527 5.9439 8.3741
angles (deg): 90.00 90.00 83.05
Element x y z (fractional)
K 0.0000 0.0000 0.5000
S 0.1421 0.7519 0.7996
S 0.8579 0.2481 0.2004
S 0.1421 0.7518 0.2004
S 0.8579 0.2482 0.7996
S 0.6248 0.7166 0.5000
S 0.3752 0.2834 0.5000
S 0.6264 0.7509 0.0000
S 0.3736 0.2491 0.0000
Ge 0.0000 0.0000 0.0000
Pa 0.5000 0.5000 0.2485
Pa 0.5000 0.5000 0.7515

The space group is P2/m, No. 10. The calculation puts the uncorrected formation energy at -10.76 eV/f.u. The calculation puts the final energy at -5.707 eV/atom.


(3)
Density functional theory data (PBE) for crystalline K2PaGeS6 at its relaxed geometry.

a b c (Å): 7.0655 7.0656 7.0657
angles (deg): 60.01 60.01 60.00
Element x y z (fractional)
S 0.0782 0.0740 0.2916
S 0.5584 0.0760 0.8116
S 0.0739 0.5563 0.2915
S 0.5562 0.0783 0.2916
S 0.0761 0.5540 0.8115
S 0.5540 0.5584 0.8115
K 0.5662 0.5662 0.3013
K 0.0661 0.0661 0.8016
Pa 0.8162 0.8162 0.5515
Ge 0.3162 0.3162 0.0515

The space group is R-3, No. 148. The calculation puts the uncorrected formation energy at -8.98 eV/f.u. The calculation puts the final energy at -5.005 eV/atom.


(4)
Density functional theory data (PBE) for crystalline K3PaGe2S8 at its relaxed geometry.

a b c (Å): 7.1808 7.1808 9.0143
angles (deg): 90.00 90.00 120.00
Element x y z (fractional)
K 0.3333 0.6667 0.6421
K 0.0000 0.0000 0.0000
K 0.6667 0.3333 0.3579
S 0.3364 0.1682 0.6733
S 0.6667 0.3333 0.0148
S 0.8318 0.1682 0.6733
S 0.1682 0.3364 0.3267
S 0.3333 0.6667 0.9852
S 0.6636 0.8318 0.3267
S 0.8318 0.6636 0.6733
S 0.1682 0.8318 0.3267
Pa 0.0000 0.0000 0.5000
Ge 0.3333 0.6667 0.2170
Ge 0.6667 0.3333 0.7830

The space group is P-3m1, No. 164. The calculation puts the uncorrected formation energy at -12.79 eV/f.u. The calculation puts the final energy at -4.845 eV/atom.


(5)
Density functional theory data (PBE) for crystalline K2PaGe2S6 at its relaxed geometry.

a b c (Å): 7.2670 7.0682 8.0947
angles (deg): 115.83 90.00 120.93
Element x y z (fractional)
Pa 0.5000 0.0000 0.5000
Ge 0.0408 0.0816 0.1828
Ge 0.9592 0.9184 0.8172
K 0.7068 0.4137 0.1823
K 0.2932 0.5863 0.8177
S 0.1966 0.8875 0.2206
S 0.2590 0.5180 0.4003
S 0.6909 0.8875 0.2206
S 0.7410 0.4820 0.5997
S 0.8034 0.1125 0.7794
S 0.3091 0.1125 0.7794

The space group is C2/m, No. 12. The calculation puts the uncorrected formation energy at -10.66 eV/f.u. The calculation puts the final energy at -5.123 eV/atom.


(6)
Density functional theory data (PBE) for crystalline K3PaGe2Se6 at its relaxed geometry.

a b c (Å): 7.3054 7.3054 7.9189
angles (deg): 98.83 98.83 119.97
Element x y z (fractional)
K 0.1713 0.8287 0.5000
K 0.8287 0.1713 0.5000
K 0.5000 0.5000 0.5000
Pa 0.0000 0.0000 0.0000
Se 0.3904 0.0659 0.1976
Se 0.7416 0.7416 0.1986
Se 0.0659 0.3904 0.1976
Se 0.2584 0.2584 0.8014
Se 0.6096 0.9341 0.8024
Se 0.9341 0.6096 0.8024
Ge 0.6655 0.3345 0.0000
Ge 0.3345 0.6655 0.0000

The space group is C2/m, No. 12. The calculation puts the uncorrected formation energy at -12.21 eV/f.u. The calculation puts the final energy at -4.595 eV/atom.